Below is ZnHgAu at its PBEsol-relaxed geometry, with properties calculated at the meta-GGA SCAN level.

a b c (Å): 3.0083 3.0083 11.5230
angles (deg): 90.00 90.00 90.00
With the nearest neighbours (Å) after each atom.
Atoms (fractional coordinates):
Zn 0.0000 0.0000 0.0000  4 Au 2.67, 4 Hg 2.89
Zn 0.5000 0.5000 0.5000  4 Au 2.67, 4 Hg 2.89
Hg 0.0000 0.0000 0.3301  4 Zn 2.89, 4 Hg 3.01, 4 Au 3.05
Hg 0.5000 0.5000 0.8301  4 Zn 2.89, 4 Hg 3.01, 4 Au 3.05
Au 0.0000 0.0000 0.6405  4 Zn 2.67
Au 0.5000 0.5000 0.1405  4 Zn 2.67

## Properties
Crystal system ... tetragonal
Total magnetization ... 0.00 μB per formula unit
Formation energy from the elements ... 0.004 eV/atom
Energy ... -301.7 eV for the cell shown